1.
First-principles (PBE) data for a geometry-optimized Ce2Ge5Pd3 structure, as listed in the Alexandria database.

Output
D(E_F): 1.254 states/eV per atom
DFT total energy: -5.773 eV/atom

Lattice parameters (Å, degrees): 10.1948 12.1369 6.2403 90.00 90.00 90.00
Closest atoms and distances in Å follow each position.
Space group Ibam (No. 72)
Inequivalent atoms, fractional coordinates:
Ce  0.2288  0.1296  0.0000 x8  10 Ge 3.07-3.37, 4 Pd 3.23-3.43
Ge  0.0000  0.0000  0.2500 x4  4 Pd 2.57
Ge  0.0000  0.2773  0.2500 x8  3 Pd 2.51-2.70, 2 Ge 2.65
Ge  0.1570  0.3952  0.0000 x8  3 Pd 2.44-2.57, 2 Ge 2.65
Pd  0.0000  0.5000  0.2500 x4  6 Ge 2.57-2.70
Pd  0.1074  0.1423  0.5000 x8  5 Ge 2.44-2.57

***

2.
First-principles (PBE) data for a geometry-optimized CeGe2Pd4 structure, as listed in the Alexandria database.

Output
polymorph energy (0 for the lowest one): 0.0 meV per atom
D(E_F): 1.052 states/eV per atom
DFT total energy: -5.837 eV/atom

Lattice parameters (Å, degrees): 7.8845 7.8845 3.9770 90.00 90.00 90.00
Closest atoms and distances in Å follow each position.
Space group P4_2/mnm (No. 136)
Inequivalent atoms, fractional coordinates:
Ce  0.0000  0.0000  0.0000 x2  6 Ge 3.14-3.15, 12 Pd 3.39-3.50
Ge  0.2175  0.2175  0.5000 x4  6 Pd 2.55-2.58
Pd  0.0873  0.6633  0.5000 x8  3 Ge 2.55-2.58, 1 Pd 2.78

***

3.
First-principles (PBE) data for a geometry-optimized CeGe3Pd10 structure, as listed in the Alexandria database.

Output
D(E_F): 0.810 states/eV per atom
DFT total energy: -5.648 eV/atom

Lattice parameters (Å, degrees): 12.4857 12.4857 12.4857 90.00 90.00 90.00
Closest atoms and distances in Å follow each position.
Space group Fm-3m (No. 225)
Inequivalent atoms, fractional coordinates:
Ce  0.2500  0.2500  0.2500 x8  4 Pd 2.85
Ge  0.0000  0.0000  0.2357 x24  8 Pd 2.45-2.55
Pd  0.0000  0.1742  0.3258 x48  2 Ge 2.45, 1 Pd 2.68
Pd  0.1184  0.1184  0.1184 x32  3 Ge 2.55, 1 Ce 2.85

***

4.
First-principles (PBE) data for a geometry-optimized CeGePd structure, as listed in the Alexandria database.

Output
D(E_F): 1.242 states/eV per atom
DFT total energy: -6.069 eV/atom

Lattice parameters (Å, degrees): 10.3640 4.4672 7.2508 90.00 132.17 90.00
Closest atoms and distances in Å follow each position.
Space group C2/m (No. 12)
Inequivalent atoms, fractional coordinates:
Ce  0.0384  0.0000  0.3021 x4  6 Pd 3.01-3.27, 6 Ge 3.11-3.34
Ge  0.1583  0.5000  0.1000 x4  1 Ge 2.55, 2 Pd 2.57
Pd  0.1790  0.5000  0.7150 x4  2 Ge 2.57, 1 Pd 2.82

***

5.
First-principles (PBE) data for a geometry-optimized Ce4Ge12Pd structure, as listed in the Alexandria database.

Output
D(E_F): 1.282 states/eV per atom
DFT total energy: -5.459 eV/atom

Lattice parameters (Å, degrees): 8.7968 8.7968 8.7968 90.00 90.00 90.00
Closest atoms and distances in Å follow each position.
Space group Im-3m (No. 229)
Inequivalent atoms, fractional coordinates:
Ce  0.2500  0.2500  0.2500 x8  12 Ge 3.11-3.14
Ge  0.0000  0.0000  0.2948 x12  1 Pd 2.59, 4 Ge 2.85
Ge  0.0000  0.2500  0.5000 x12  8 Ge 2.85-3.11, 4 Ce 3.11
Pd  0.0000  0.0000  0.0000 x2  6 Ge 2.59

***

6.
First-principles (PBE) data for a geometry-optimized Ce2GePd8 structure, as listed in the Alexandria database.

Output
D(E_F): 0.858 states/eV per atom
DFT total energy: -5.886 eV/atom

Lattice parameters (Å, degrees): 4.7589 5.9170 14.0686 90.00 90.00 90.00
Closest atoms and distances in Å follow each position.
Space group Immm (No. 71)
Inequivalent atoms, fractional coordinates:
Ce  0.0000  0.0000  0.1829 x4  12 Pd 2.87-3.01
Ge  0.0000  0.0000  0.5000 x2  4 Pd 2.41
Pd  0.0000  0.2562  0.3665 x8  1 Ge 2.41
Pd  0.0000  0.2608  0.0000 x4  2 Ge 2.77, 8 Pd 2.83-3.09, 2 Ce 3.00
Pd  0.0000  0.5000  0.1859 x4  8 Pd 2.92-2.97, 4 Ce 2.96-3.01

***

7.
First-principles (PBE) data for a geometry-optimized Ce2Ge3Pd5 structure, as listed in the Alexandria database.

Output
polymorph energy (0 for the lowest one): 0.0 meV per atom
D(E_F): 1.030 states/eV per atom
DFT total energy: -5.907 eV/atom

Lattice parameters (Å, degrees): 4.4015 24.0812 6.9408 90.00 90.00 90.00
Closest atoms and distances in Å follow each position.
Space group Cmc2_1 (No. 36)
Inequivalent atoms, fractional coordinates:
Ce  0.0000  0.0180  0.0000 x4  5 Pd 2.96-3.16, 6 Ge 3.02-3.24
Ce  0.0000  0.3275  0.0158 x4  4 Ge 2.98-3.24, 7 Pd 2.98-3.27
Ge  0.0000  0.1053  0.6873 x4  4 Pd 2.58-2.81
Ge  0.0000  0.2769  0.5829 x4  7 Pd 2.48-2.73
Ge  0.0000  0.4451  0.8042 x4  5 Pd 2.58-2.70
Pd  0.0000  0.1102  0.2831 x4  3 Ge 2.58-2.81, 1 Pd 2.82
Pd  0.0000  0.1989  0.8672 x4  4 Ge 2.58-2.73, 1 Pd 2.87
Pd  0.0000  0.2274  0.2689 x4  3 Ge 2.48-2.55
Pd  0.0000  0.3780  0.5070 x4  2 Ge 2.49-2.62
Pd  0.0000  0.4507  0.1928 x4  4 Ge 2.58-2.70, 1 Pd 2.80

***

8.
First-principles (PBE) data for a geometry-optimized CeGe2Pd structure, as listed in the Alexandria database.

Output
D(E_F): 1.132 states/eV per atom
DFT total energy: -5.631 eV/atom

Lattice parameters (Å, degrees): 4.2919 4.2919 4.2799 90.00 90.00 90.00
Closest atoms and distances in Å follow each position.
Space group P4/mmm (No. 123)
Inequivalent atoms, fractional coordinates:
Ce  0.0000  0.0000  0.0000 x1  8 Ge 3.03, 4 Pd 3.03
Ge  0.0000  0.5000  0.5000 x2  4 Ce 3.03, 4 Pd 3.03, 4 Ge 3.03
Pd  0.5000  0.5000  0.0000 x1  8 Ge 3.03, 4 Ce 3.03

***

no.,volume (Å³/cell)
1,772.1
2,247.2
3,1946.4
4,248.8
5,680.7
6,396.1
7,735.7
8,78.8